Version one
Computed, not measured: a geometry-optimized Sc2AlTc structure at the PBE level of DFT.

Cell and atoms, written as CIF:
```
data_Sc2AlTc
_chemical_formula_sum 'Sc4 Al2 Tc2'
_space_group_name_H-M_alt 'C m m m'
_space_group_IT_number 65
_space_group_name_Hall '-C 2 2'
_cell_length_a 3.480
_cell_length_b 4.860
_cell_length_c 8.864
_cell_angle_alpha 90.00
_cell_angle_beta 90.00
_cell_angle_gamma 90.00
loop_
_atom_site_label
_atom_site_fract_x
_atom_site_fract_y
_atom_site_fract_z
Sc1 0.000 0.000 0.226
Al1 0.000 0.500 0.500
Tc1 0.000 0.500 0.000
```

---

Version two
Computed, not measured: a geometry-optimized Sc2AlTc structure at the PBE level of DFT.

Cell and atoms, written as CIF:
```
data_Sc2AlTc
_chemical_formula_sum 'Sc2 Al1 Tc1'
_space_group_name_H-M_alt 'P 4/m m m'
_space_group_IT_number 123
_space_group_name_Hall '-P 4 2'
_cell_length_a 3.369
_cell_length_b 3.369
_cell_length_c 6.472
_cell_angle_alpha 90.00
_cell_angle_beta 90.00
_cell_angle_gamma 90.00
loop_
_atom_site_label
_atom_site_fract_x
_atom_site_fract_y
_atom_site_fract_z
Sc1 0.000 0.000 0.228
Al1 0.500 0.500 0.500
Tc1 0.500 0.500 0.000
```

---

In meV/atom, relative to the most stable structure: version one 186; version two 0.

---

Version one
Computed, not measured: a geometry-optimized Sc4AlTc2 structure at the PBE level of DFT.

Cell and atoms, written as CIF:
```
data_Sc4AlTc2
_chemical_formula_sum 'Sc8 Al2 Tc4'
_space_group_name_H-M_alt 'I 4/m m m'
_space_group_IT_number 139
_space_group_name_Hall '-I 4 2'
_cell_length_a 5.120
_cell_length_b 5.120
_cell_length_c 12.430
_cell_angle_alpha 90.00
_cell_angle_beta 90.00
_cell_angle_gamma 90.00
loop_
_atom_site_label
_atom_site_fract_x
_atom_site_fract_y
_atom_site_fract_z
Sc1 0.000 0.000 0.213
Sc2 0.000 0.500 0.000
Al1 0.000 0.000 0.000
Tc1 0.000 0.000 0.402
```

---

Version two
Computed, not measured: a geometry-optimized Sc4AlTc2 structure at the PBE level of DFT.

Cell and atoms, written as CIF:
```
data_Sc4AlTc2
_chemical_formula_sum 'Sc16 Al4 Tc8'
_space_group_name_H-M_alt 'C m c m'
_space_group_IT_number 63
_space_group_name_Hall '-C 2c 2'
_cell_length_a 4.846
_cell_length_b 8.395
_cell_length_c 13.409
_cell_angle_alpha 90.00
_cell_angle_beta 90.00
_cell_angle_gamma 90.00
loop_
_atom_site_label
_atom_site_fract_x
_atom_site_fract_y
_atom_site_fract_z
Sc1 0.000 0.000 0.000
Sc2 0.000 0.333 0.132
Sc3 0.000 0.334 0.750
Al1 0.000 0.000 0.250
Tc1 0.000 0.333 0.549
```

---

In meV/atom, relative to the most stable structure: version one 666; version two 0.

---

Version one
Computed, not measured: a geometry-optimized ScAl2Tc2 structure at the PBE level of DFT.

Cell and atoms, written as CIF:
```
data_ScAl2Tc2
_chemical_formula_sum 'Sc2 Al4 Tc4'
_space_group_name_H-M_alt 'P 4/m b m'
_space_group_IT_number 127
_space_group_name_Hall '-P 4 2ab'
_cell_length_a 6.981
_cell_length_b 6.981
_cell_length_c 3.242
_cell_angle_alpha 90.00
_cell_angle_beta 90.00
_cell_angle_gamma 90.00
loop_
_atom_site_label
_atom_site_fract_x
_atom_site_fract_y
_atom_site_fract_z
Sc1 0.000 0.000 0.000
Al1 0.128 0.372 0.000
Tc1 0.168 0.668 0.500
```

---

Version two
Computed, not measured: a geometry-optimized ScAl2Tc2 structure at the PBE level of DFT.

Cell and atoms, written as CIF:
```
data_ScAl2Tc2
_chemical_formula_sum 'Sc2 Al4 Tc4'
_space_group_name_H-M_alt 'P 4/m b m'
_space_group_IT_number 127
_space_group_name_Hall '-P 4 2ab'
_cell_length_a 7.036
_cell_length_b 7.036
_cell_length_c 3.253
_cell_angle_alpha 90.00
_cell_angle_beta 90.00
_cell_angle_gamma 90.00
loop_
_atom_site_label
_atom_site_fract_x
_atom_site_fract_y
_atom_site_fract_z
Sc1 0.000 0.000 0.000
Al1 0.138 0.362 0.500
Tc1 0.156 0.656 0.000
```

---

In meV/atom, relative to the most stable structure: version one 0; version two 153.